# 1
{
  "formula": "ZnPd",
  "functional": "PBE-GGA",
  "state": "relaxed",
  "volume_a3_per_cell": 118,
  "e_tot_ev_per_atom": -3.584,
  "formation_enthalpy_0k_ev_per_atom": -0.36,
  "sg": "Pmm2, No. 25",
  "cell": [[4.476, 0.000, 0.000], [0.000, 5.536, 0.000], [0.000, 0.000, 4.748]],
  "species": ["Zn", "Zn", "Zn", "Zn", "Pd", "Pd", "Pd", "Pd"],
  "fractional_positions": [[0.000, 0.000, 0.000], [0.000, 0.259, 0.494], [0.000, 0.741, 0.494], [0.500, 0.000, 0.667], [0.000, 0.500, 0.996], [0.500, 0.243, 0.168], [0.500, 0.500, 0.662], [0.500, 0.757, 0.168]]
}

---

# 2
{
  "formula": "ZnPd",
  "functional": "PBE-GGA",
  "state": "relaxed",
  "volume_a3_per_cell": 33,
  "e_tot_ev_per_atom": -3.459,
  "formation_enthalpy_0k_ev_per_atom": -0.24,
  "sg": "Fm-3m, No. 225",
  "cell": [[0.000, 2.540, 2.540], [2.540, 0.000, 2.540], [2.540, 2.540, 0.000]],
  "species": ["Zn", "Pd"],
  "fractional_positions": [[0.000, 0.000, 0.000], [0.500, 0.500, 0.500]]
}

---

# 3
{
  "formula": "ZnPd2",
  "functional": "PBE-GGA",
  "state": "relaxed",
  "volume_a3_per_cell": 100,
  "e_tot_ev_per_atom": -3.874,
  "formation_enthalpy_0k_ev_per_atom": 0.00,
  "sg": "Fd-3m, No. 227",
  "cell": [[0.000, 3.683, 3.683], [3.683, 0.000, 3.683], [3.683, 3.683, 0.000]],
  "species": ["Zn", "Zn", "Pd", "Pd", "Pd", "Pd"],
  "fractional_positions": [[0.125, 0.125, 0.125], [0.875, 0.875, 0.875], [0.000, 0.500, 0.500], [0.500, 0.000, 0.500], [0.500, 0.500, 0.000], [0.500, 0.500, 0.500]]
}

---

# 4
{
  "formula": "ZnPd7",
  "functional": "PBE-GGA",
  "state": "relaxed",
  "volume_a3_per_cell": 362,
  "e_tot_ev_per_atom": -4.733,
  "formation_enthalpy_0k_ev_per_atom": -0.05,
  "sg": "Pmmn, No. 59",
  "cell": [[2.819, 0.000, 0.000], [0.000, 3.835, 0.000], [0.000, 0.000, 33.493]],
  "species": ["Zn", "Zn", "Pd", "Pd", "Pd", "Pd", "Pd", "Pd", "Pd", "Pd", "Pd", "Pd", "Pd", "Pd", "Pd", "Pd"],
  "fractional_positions": [[0.250, 0.250, 0.188], [0.750, 0.750, 0.812], [0.250, 0.250, 0.266], [0.250, 0.250, 0.351], [0.250, 0.250, 0.436], [0.250, 0.250, 0.521], [0.250, 0.250, 0.607], [0.250, 0.250, 0.692], [0.250, 0.250, 0.781], [0.750, 0.750, 0.219], [0.750, 0.750, 0.308], [0.750, 0.750, 0.393], [0.750, 0.750, 0.479], [0.750, 0.750, 0.564], [0.750, 0.750, 0.649], [0.750, 0.750, 0.734]]
}

---

# 5
{
  "formula": "ZnPd",
  "functional": "PBE-GGA",
  "state": "relaxed",
  "volume_a3_per_cell": 118,
  "e_tot_ev_per_atom": -3.601,
  "formation_enthalpy_0k_ev_per_atom": -0.38,
  "sg": "Pmmn, No. 59",
  "cell": [[2.823, 0.000, 0.000], [0.000, 4.440, 0.000], [0.000, 0.000, 9.395]],
  "species": ["Zn", "Zn", "Zn", "Zn", "Pd", "Pd", "Pd", "Pd"],
  "fractional_positions": [[0.250, 0.250, 0.045], [0.250, 0.750, 0.701], [0.750, 0.250, 0.299], [0.750, 0.750, 0.955], [0.250, 0.250, 0.542], [0.250, 0.750, 0.195], [0.750, 0.250, 0.805], [0.750, 0.750, 0.458]]
}

---

# 6
{
  "formula": "ZnPd",
  "functional": "PBE-GGA",
  "state": "relaxed",
  "volume_a3_per_cell": 175,
  "e_tot_ev_per_atom": -3.704,
  "formation_enthalpy_0k_ev_per_atom": -0.48,
  "sg": "P2_1/m, No. 11",
  "cell": [[5.675, 0.000, 0.000], [0.000, 4.426, 0.000], [-1.370, 0.000, 6.960]],
  "species": ["Zn", "Zn", "Zn", "Zn", "Zn", "Zn", "Pd", "Pd", "Pd", "Pd", "Pd", "Pd"],
  "fractional_positions": [[0.133, 0.250, 0.468], [0.214, 0.750, 0.873], [0.281, 0.250, 0.131], [0.719, 0.750, 0.869], [0.786, 0.250, 0.127], [0.867, 0.750, 0.532], [0.045, 0.750, 0.202], [0.377, 0.750, 0.555], [0.457, 0.250, 0.813], [0.543, 0.750, 0.187], [0.623, 0.250, 0.445], [0.955, 0.250, 0.798]]
}

---

# 7
{
  "formula": "ZnPd",
  "functional": "PBE-GGA",
  "state": "relaxed",
  "volume_a3_per_cell": 235,
  "e_tot_ev_per_atom": -3.594,
  "formation_enthalpy_0k_ev_per_atom": -0.37,
  "sg": "Pmmn, No. 59",
  "cell": [[4.482, 0.000, 0.000], [0.000, 5.529, 0.000], [0.000, 0.000, 9.490]],
  "species": ["Zn", "Zn", "Zn", "Zn", "Zn", "Zn", "Zn", "Zn", "Pd", "Pd", "Pd", "Pd", "Pd", "Pd", "Pd", "Pd"],
  "fractional_positions": [[0.250, 0.003, 0.085], [0.250, 0.250, 0.344], [0.250, 0.250, 0.824], [0.250, 0.497, 0.085], [0.750, 0.503, 0.915], [0.750, 0.750, 0.176], [0.750, 0.750, 0.656], [0.750, 0.997, 0.915], [0.250, 0.000, 0.586], [0.250, 0.500, 0.586], [0.250, 0.750, 0.319], [0.250, 0.750, 0.847], [0.750, 0.000, 0.414], [0.750, 0.250, 0.153], [0.750, 0.250, 0.681], [0.750, 0.500, 0.414]]
}

---

# 8
{
  "formula": "ZnPd",
  "functional": "PBE-GGA",
  "state": "relaxed",
  "volume_a3_per_cell": 118,
  "e_tot_ev_per_atom": -3.637,
  "formation_enthalpy_0k_ev_per_atom": -0.42,
  "sg": "Pbcm, No. 57",
  "cell": [[5.364, 0.000, 0.000], [0.000, 4.807, 0.000], [0.000, 0.000, 4.575]],
  "species": ["Zn", "Zn", "Zn", "Zn", "Pd", "Pd", "Pd", "Pd"],
  "fractional_positions": [[0.144, 0.075, 0.250], [0.144, 0.425, 0.750], [0.856, 0.575, 0.250], [0.856, 0.925, 0.750], [0.350, 0.574, 0.250], [0.350, 0.926, 0.750], [0.650, 0.074, 0.250], [0.650, 0.426, 0.750]]
}